Record 1
# Ac2Sm2Ge3, relaxed, DFT PBE
data_Ac2Sm2Ge3
_space_group_name_H-M_alt 'P -1'
_space_group_IT_number 2
_space_group_name_Hall '-P 1'
_cell_length_a 4.2855
_cell_length_b 7.3643
_cell_length_c 7.9880
_cell_angle_alpha 98.82
_cell_angle_beta 90.08
_cell_angle_gamma 106.91
loop_
_atom_site_label
_atom_site_type_symbol
_atom_site_fract_x
_atom_site_fract_y
_atom_site_fract_z
Ac1 Ac 0.1283 0.2550 0.3652
Sm1 Sm 0.3683 0.7363 0.0933
Ge1 Ge 0.0000 0.0000 0.0000
Ge2 Ge 0.2345 0.4701 0.7485
# * raw total energy: -35.6 eV per cell
# * ΔE_f: -4.05 eV/f.u.

***

Record 2
# SrScAuO4, relaxed, DFT PBE
data_SrScAuO4
_space_group_name_H-M_alt 'C m c m'
_space_group_IT_number 63
_space_group_name_Hall '-C 2c 2'
_cell_length_a 6.4220
_cell_length_b 9.2895
_cell_length_c 7.5901
_cell_angle_alpha 90.00
_cell_angle_beta 90.00
_cell_angle_gamma 90.00
loop_
_atom_site_label
_atom_site_type_symbol
_atom_site_fract_x
_atom_site_fract_y
_atom_site_fract_z
Sr1 Sr 0.0000 0.0000 0.0000
Sc1 Sc 0.0000 0.3749 0.2500
Au1 Au 0.0000 0.2966 0.7500
O1 O 0.0000 0.2763 0.0101
O2 O 0.2471 0.4996 0.2500
# * raw total energy: -175.6 eV per cell
# * ΔE_f (raw): -1.826 eV/atom

***

Record 3
# RbNaEuPb, relaxed, DFT PBE
data_RbNaEuPb
_space_group_name_H-M_alt 'F -4 3 m'
_space_group_IT_number 216
_space_group_name_Hall 'F -4 2 3'
_cell_length_a 8.2687
_cell_length_b 8.2687
_cell_length_c 8.2687
_cell_angle_alpha 90.00
_cell_angle_beta 90.00
_cell_angle_gamma 90.00
loop_
_atom_site_label
_atom_site_type_symbol
_atom_site_fract_x
_atom_site_fract_y
_atom_site_fract_z
Rb1 Rb 0.0000 0.0000 0.0000
Na1 Na 0.2500 0.2500 0.2500
Eu1 Eu 0.2500 0.2500 0.7500
Pb1 Pb 0.0000 0.0000 0.5000
# * raw total energy: -67.4 eV per cell
# * ΔE_f: -0.58 eV/f.u.

***

Record 4
# Ge2ICl2, relaxed, DFT PBE
data_Ge2ICl2
_space_group_name_H-M_alt 'P 4/m b m'
_space_group_IT_number 127
_space_group_name_Hall '-P 4 2ab'
_cell_length_a 8.5999
_cell_length_b 8.5999
_cell_length_c 4.3026
_cell_angle_alpha 90.00
_cell_angle_beta 90.00
_cell_angle_gamma 90.00
loop_
_atom_site_label
_atom_site_type_symbol
_atom_site_fract_x
_atom_site_fract_y
_atom_site_fract_z
Ge1 Ge 0.2433 0.2567 0.0000
I1 I 0.0000 0.0000 0.0000
Cl1 Cl 0.1489 0.6489 0.5000
# * raw total energy: -31.4 eV per cell
# * ΔE_f (raw): -0.240 eV/atom

***

no.,volume (Å³ per atom)
1,34.01
2,16.17
3,35.33
4,31.82